Model a:
The following is a PBEsol calculation of an optimized crystal structure of BaSbTeI2, from Alexandria via LeMat-Bulk.

CIF file:
```
data_BaSbTeI2
_chemical_formula_sum 'Ba1 Sb1 Te1 I2'
_symmetry_space_group_name_H-M 'P 1'
_symmetry_Int_Tables_number 1
_symmetry_space_group_name_Hall 'P 1'
_cell_length_a 6.425
_cell_length_b 6.425
_cell_length_c 6.780
_cell_angle_alpha 90.00
_cell_angle_beta 90.00
_cell_angle_gamma 90.00
loop_
_atom_site_label
_atom_site_fract_x
_atom_site_fract_y
_atom_site_fract_z
I1 0.000 0.500 0.000
I2 0.500 0.000 0.000
Sb1 0.500 0.500 0.500
Te1 0.000 0.000 0.500
Ba1 0.000 0.000 0.000
```

The density of states at the Fermi level is 4.9 states/eV/cell.

---

Model b:
The following is a PBEsol calculation of an optimized crystal structure of BaSbTeI2, from Alexandria via LeMat-Bulk.

CIF file:
```
data_BaSbTeI2
_chemical_formula_sum 'Ba1 Sb1 Te1 I2'
_symmetry_space_group_name_H-M 'P 1'
_symmetry_Int_Tables_number 1
_symmetry_space_group_name_Hall 'P 1'
_cell_length_a 5.943
_cell_length_b 5.943
_cell_length_c 5.838
_cell_angle_alpha 90.00
_cell_angle_beta 90.00
_cell_angle_gamma 90.00
loop_
_atom_site_label
_atom_site_fract_x
_atom_site_fract_y
_atom_site_fract_z
I1 0.000 0.500 0.000
I2 0.500 0.000 0.000
Sb1 0.000 0.000 0.000
Te1 0.000 0.000 0.500
Ba1 0.500 0.500 0.500
```

The density of states at the Fermi level is 2.1 states/eV/cell.

---

Which structure is the most stable? The one labeled model b.

---

Model a:
The following is a PBEsol calculation of an optimized crystal structure of MgOs2Se, from Alexandria via LeMat-Bulk.

CIF file:
```
data_MgOs2Se
_chemical_formula_sum 'Mg1 Os2 Se1'
_symmetry_space_group_name_H-M 'P 1'
_symmetry_Int_Tables_number 1
_symmetry_space_group_name_Hall 'P 1'
_cell_length_a 2.889
_cell_length_b 2.889
_cell_length_c 8.754
_cell_angle_alpha 80.50
_cell_angle_beta 80.50
_cell_angle_gamma 60.00
loop_
_atom_site_label
_atom_site_fract_x
_atom_site_fract_y
_atom_site_fract_z
Mg1 0.252 0.252 0.243
Os1 0.004 0.004 0.989
Os2 0.749 0.749 0.752
Se1 0.494 0.494 0.517
```

The density of states at the Fermi level is 1.7 states/eV/cell.

---

Model b:
The following is a PBEsol calculation of an optimized crystal structure of MgOs2Se, from Alexandria via LeMat-Bulk.

CIF file:
```
data_MgOs2Se
_chemical_formula_sum 'Mg1 Os2 Se1'
_symmetry_space_group_name_H-M 'P 1'
_symmetry_Int_Tables_number 1
_symmetry_space_group_name_Hall 'P 1'
_cell_length_a 4.430
_cell_length_b 4.430
_cell_length_c 4.430
_cell_angle_alpha 60.00
_cell_angle_beta 60.00
_cell_angle_gamma 60.00
loop_
_atom_site_label
_atom_site_fract_x
_atom_site_fract_y
_atom_site_fract_z
Mg1 0.500 0.500 0.500
Os1 0.000 0.000 0.000
Os2 0.750 0.750 0.750
Se1 0.250 0.250 0.250
```

The density of states at the Fermi level is 3.9 states/eV/cell.

---

Which structure is the most stable? The one labeled model a.